[1]
DFT (PBEsol) results for BeTl3Ru after structural relaxation.

Summary:
space group = Pm-3m, No. 221
ΔE_f = 529 kJ/mol of formula units

Lattice parameters (Å, degrees): 4.7692 4.7692 4.7692 90.00 90.00 90.00
With the nearest neighbours (Å) after each atom.
Atoms (fractional coordinates):
Be 0.0000 0.0000 0.0000  6 Tl 2.38
Tl 0.0000 0.0000 0.5000  2 Be 2.38
Tl 0.0000 0.5000 0.0000  2 Be 2.38
Tl 0.5000 0.0000 0.0000  2 Be 2.38
Ru 0.5000 0.5000 0.5000  12 Tl 3.37

---

[2]
DFT (PBEsol) results for Be2Ru2W after structural relaxation.

Summary:
space group = P4/mbm, No. 127
ΔE_f = -102 kJ/mol of formula units

Lattice parameters (Å, degrees): 6.3150 6.3150 2.8561 90.00 90.00 90.00
With the nearest neighbours (Å) after each atom.
Atoms (fractional coordinates):
Be 0.1226 0.3774 0.0000  1 Be 2.19, 6 Ru 2.34-2.35
Be 0.3774 0.8774 0.0000  1 Be 2.19, 6 Ru 2.34-2.35
Be 0.6226 0.1226 0.0000  1 Be 2.19, 6 Ru 2.34-2.35
Be 0.8774 0.6226 0.0000  1 Be 2.19, 6 Ru 2.34-2.35
Ru 0.1694 0.6694 0.5000  6 Be 2.34-2.35
Ru 0.3306 0.1694 0.5000  6 Be 2.34-2.35
Ru 0.6694 0.8306 0.5000  6 Be 2.34-2.35
Ru 0.8306 0.3306 0.5000  6 Be 2.34-2.35
W 0.0000 0.0000 0.0000  4 Be 2.51, 8 Ru 2.75
W 0.5000 0.5000 0.0000  4 Be 2.51, 8 Ru 2.75

---

What is the formula in the first record? BeTl3Ru

---

What is the ΔE_f in the first record? 529 kJ/mol of formula units

---

Look up the ΔE_f of the first one. 529 kJ/mol of formula units

---

The lowest ΔE_f belongs to which entry? Be2Ru2W